Entry 1:
Entry from Alexandria: a relaxed structure of ZrTi4Tl (PBE-GGA).

Cell: 7.7198 7.7198 7.7198 Å, 90.00 90.00 90.00°
Last column: nearest neighbours and their distance in Å.
Space group F-43m (No. 216)
One atom of each set of equivalent atoms:
Zr 0.0000 0.0000 0.0000  12 Ti 3.19, 4 Tl 3.34
Ti 0.1280 0.1280 0.3720  6 Ti 2.66-2.80
Tl 0.2500 0.2500 0.7500  12 Ti 3.21, 4 Zr 3.34

Values from the calculation:
E_tot ... -6.947 eV/atom
Fermi-level density of states ... 37.8 states/eV per cell
Calculated volume ... 115 Å³/f.u.
Calculated formation energy ... 136 meV/atom

***

Entry 2:
Entry from Alexandria: a relaxed structure of In2SbAu (PBE-GGA).

Cell: 7.3763 7.3763 7.3763 Å, 90.00 90.00 90.00°
Last column: nearest neighbours and their distance in Å.
Space group Fm-3m (No. 225)
One atom of each set of equivalent atoms:
In 0.2500 0.2500 0.2500  4 Sb 3.19, 4 Au 3.19
Sb 0.0000 0.0000 0.0000  8 In 3.19
Au 0.0000 0.0000 0.5000  8 In 3.19

Values from the calculation:
E_tot ... -3.165 eV/atom
Fermi-level density of states ... 10.1 states/eV per cell
Calculated volume ... 100 Å³/f.u.
Energy relative to the elements, uncorrected ... 0.0541 eV/atom
Polymorph energy (0 for the lowest one) ... 131 meV per atom

***

Entry 3:
Entry from Alexandria: a relaxed structure of Li2SbW (PBE-GGA).

Cell: 3.6148 4.3236 9.2754 Å, 90.00 90.00 90.00°
Last column: nearest neighbours and their distance in Å.
Space group Cmmm (No. 65)
One atom of each set of equivalent atoms:
Li 0.0000 0.0000 0.2430  4 Li 2.82, 4 W 2.89-3.12, 2 Sb 2.99
Sb 0.0000 0.5000 0.5000  4 Sb 2.82, 4 Li 2.99
W 0.0000 0.5000 0.0000  4 W 2.82, 8 Li 2.89-3.12

Values from the calculation:
E_tot ... -4.862 eV/atom
Fermi-level density of states ... 7.6 states/eV per cell
Calculated volume ... 72 Å³/f.u.
Energy relative to the elements, uncorrected ... 0.3636 eV/atom

***

> What is the E_tot in the third record?

-4.862 eV/atom